Record 1
Na3BrN4: relaxed, PBE.

Geometry as POSCAR:
```
Na3BrN4
1.0
3.472 0.000 0.000
-0.002 4.837 0.000
-1.721 -0.411 8.217
Na Br N
3 1 4
direct
0.000 0.000 0.000
0.165 0.594 0.327
0.835 0.406 0.673
0.500 0.500 0.000
0.302 0.783 0.606
0.338 0.000 0.677
0.662 0.000 0.323
0.698 0.217 0.394
```

Summary:
Formation energy from raw total energies ... -8.61 kcal/mol of atoms
Raw total energy ... -5.240 eV/atom
Magnetic moment ... 0.00 μB per cell
SG ... P-1, No. 2

Record 2
Na2Br3N2: relaxed, PBE.

Geometry as POSCAR:
```
Na2Br3N2
1.0
3.418 0.000 0.000
-0.039 7.853 0.000
-1.698 -2.014 7.837
Na Br N
2 3 2
direct
0.130 0.425 0.263
0.870 0.575 0.737
0.272 0.751 0.536
0.500 0.500 0.000
0.728 0.249 0.464
0.020 0.069 0.039
0.980 0.931 0.961
```

Summary:
Formation energy from raw total energies ... -17.08 kcal/mol of atoms
Raw total energy ... -4.213 eV/atom
Magnetic moment ... 0.11 μB per cell
SG ... P-1, No. 2

Record 3
Na2Pr4Br9NO: relaxed, PBE.

Geometry as POSCAR:
```
Na2Pr4Br9NO
1.0
8.790 0.000 0.000
0.000 11.860 0.000
-2.810 0.000 9.440
Na Pr Br N O
4 8 18 2 2
direct
0.217 0.000 0.426
0.219 0.542 0.426
0.781 0.042 0.574
0.783 0.500 0.574
0.292 0.056 0.954
0.300 0.470 0.956
0.392 0.770 0.790
0.408 0.770 0.164
0.592 0.270 0.836
0.608 0.270 0.210
0.700 0.970 0.044
0.708 0.556 0.046
0.098 0.930 0.688
0.103 0.608 0.694
0.113 0.919 0.120
0.117 0.616 0.116
0.232 0.267 0.744
0.255 0.267 0.144
0.353 0.771 0.467
0.492 0.023 0.697
0.492 0.515 0.696
0.508 0.015 0.304
0.508 0.523 0.303
0.647 0.271 0.533
0.745 0.767 0.856
0.768 0.767 0.256
0.883 0.116 0.884
0.887 0.419 0.880
0.897 0.108 0.306
0.902 0.430 0.312
0.441 0.891 0.985
0.559 0.391 0.015
0.445 0.641 0.986
0.555 0.141 0.014
```

Summary:
Formation energy from raw total energies ... -45.19 kcal/mol of atoms
Raw total energy ... -4.906 eV/atom
Magnetic moment ... 0.00 μB per cell
SG ... P2_1, No. 4

Record 4
RbNa2BrN: relaxed, PBE.

Geometry as POSCAR:
```
RbNa2BrN
1.0
5.400 0.000 0.000
0.000 5.400 0.000
0.000 0.000 6.572
Rb Na Br N
1 2 1 1
direct
0.000 0.000 0.000
0.000 0.500 0.500
0.500 0.000 0.500
0.000 0.000 0.500
0.500 0.500 0.000
```

Summary:
Formation energy from raw total energies ... 6.49 kcal/mol of atoms
Raw total energy ... -2.440 eV/atom
Magnetic moment ... 1.24 μB per cell
SG ... P4/mmm, No. 123

Record 5
Rb2NaBr6N: relaxed, PBE.

Geometry as POSCAR:
```
Rb2NaBr6N
1.0
0.000 5.342 5.342
5.342 0.000 5.342
5.342 5.342 0.000
Rb Na Br N
2 1 6 1
direct
0.250 0.250 0.250
0.750 0.750 0.750
0.000 0.000 0.000
0.274 0.274 0.726
0.274 0.726 0.274
0.274 0.726 0.726
0.726 0.274 0.274
0.726 0.274 0.726
0.726 0.726 0.274
0.500 0.500 0.500
```

Summary:
Formation energy from raw total energies ... -11.73 kcal/mol of atoms
Raw total energy ... -2.670 eV/atom
Magnetic moment ... 0.00 μB per cell
SG ... Fm-3m, No. 225

Record 6
Na2RuBrN: relaxed, PBE.

Geometry as POSCAR:
```
Na2RuBrN
1.0
5.505 0.000 0.000
0.000 5.505 0.000
0.000 0.000 4.719
Na Ru Br N
2 1 1 1
direct
0.000 0.500 0.000
0.500 0.000 0.000
0.000 0.000 0.500
0.000 0.000 0.000
0.500 0.500 0.500
```

Summary:
Formation energy from raw total energies ... 28.19 kcal/mol of atoms
Raw total energy ... -3.160 eV/atom
Magnetic moment ... 4.00 μB per cell
SG ... P4/mmm, No. 123

Record 7
NaSBrN2: relaxed, PBE.

Geometry as POSCAR:
```
NaSBrN2
1.0
4.324 0.000 0.000
0.000 4.324 0.000
0.000 0.000 5.175
Na S Br N
1 1 1 2
direct
0.000 0.000 0.000
0.500 0.500 0.000
0.500 0.500 0.500
0.000 0.500 0.500
0.500 0.000 0.500
```

Summary:
Formation energy from raw total energies ... 39.05 kcal/mol of atoms
Raw total energy ... -3.061 eV/atom
Magnetic moment ... 3.34 μB per cell
SG ... P4/mmm, No. 123

Record 8
NaSBrN2: relaxed, PBE.

Geometry as POSCAR:
```
NaSBrN2
1.0
4.504 0.000 0.000
0.000 4.504 0.000
0.000 0.000 5.565
Na S Br N
1 1 1 2
direct
0.000 0.000 0.000
0.000 0.000 0.500
0.500 0.500 0.500
0.000 0.500 0.000
0.500 0.000 0.000
```

Summary:
Formation energy from raw total energies ... 46.43 kcal/mol of atoms
Raw total energy ... -2.741 eV/atom
Magnetic moment ... 5.95 μB per cell
SG ... P4/mmm, No. 123

Record 9
NaSe2BrN: relaxed, PBE.

Geometry as POSCAR:
```
NaSe2BrN
1.0
5.725 0.000 0.000
0.000 5.725 0.000
0.000 0.000 5.574
Na Se Br N
1 2 1 1
direct
0.000 0.000 0.000
0.000 0.500 0.000
0.500 0.000 0.000
0.000 0.000 0.500
0.500 0.500 0.500
```

Summary:
Formation energy from raw total energies ... 31.61 kcal/mol of atoms
Raw total energy ... -2.287 eV/atom
Magnetic moment ... 7.01 μB per cell
SG ... P4/mmm, No. 123

Record 10
NaSe2BrN: relaxed, PBE.

Geometry as POSCAR:
```
NaSe2BrN
1.0
4.147 0.000 0.000
0.000 4.147 0.000
0.000 0.000 8.544
Na Se Br N
1 2 1 1
direct
0.000 0.000 0.000
0.000 0.500 0.500
0.500 0.000 0.500
0.500 0.500 0.000
0.500 0.500 0.500
```

Summary:
Formation energy from raw total energies ... 4.83 kcal/mol of atoms
Raw total energy ... -3.448 eV/atom
Magnetic moment ... 0.00 μB per cell
SG ... P4/mmm, No. 123

Record 11
NaSe2BrN: relaxed, PBE.

Geometry as POSCAR:
```
NaSe2BrN
1.0
5.662 0.000 0.000
0.000 5.662 0.000
0.000 0.000 4.727
Na Se Br N
1 2 1 1
direct
0.000 0.000 0.000
0.000 0.500 0.000
0.500 0.000 0.000
0.500 0.500 0.500
0.000 0.000 0.500
```

Summary:
Formation energy from raw total energies ... 31.12 kcal/mol of atoms
Raw total energy ... -2.308 eV/atom
Magnetic moment ... 6.89 μB per cell
SG ... P4/mmm, No. 123

Record 12
NaSe2BrN: relaxed, PBE.

Geometry as POSCAR:
```
NaSe2BrN
1.0
5.626 0.000 0.000
0.000 5.626 0.000
0.000 0.000 3.689
Na Se Br N
1 2 1 1
direct
0.000 0.000 0.000
0.000 0.500 0.500
0.500 0.000 0.500
0.500 0.500 0.500
0.500 0.500 0.000
```

Summary:
Formation energy from raw total energies ... 22.84 kcal/mol of atoms
Raw total energy ... -2.667 eV/atom
Magnetic moment ... 0.00 μB per cell
SG ... P4/mmm, No. 123